## Ga2RhAu2 (PBE)

Data for Ga2RhAu2 after structural relaxation.

```
data_Ga2RhAu2
_chemical_formula_sum 'Ga4 Rh2 Au4'
_symmetry_space_group_name_H-M 'P 4/m b m'
_symmetry_Int_Tables_number 127
_symmetry_space_group_name_Hall '-P 4 2ab'
_cell_length_a 7.400
_cell_length_b 7.400
_cell_length_c 3.080
_cell_angle_alpha 90.00
_cell_angle_beta 90.00
_cell_angle_gamma 90.00
loop_
_atom_site_label
_atom_site_fract_x
_atom_site_fract_y
_atom_site_fract_z
Ga1 0.170 0.330 0.000
Rh1 0.000 0.000 0.500
Au1 0.135 0.635 0.500
```

Crystal system: tetragonal
Theoretical density, g cm⁻³: 12.53
Relative energy among the computed polymorphs, eV/atom: 0.132

***

## Ga8Rh2Au (PBE)

Data for Ga8Rh2Au after structural relaxation.

```
data_Ga8Rh2Au
_chemical_formula_sum 'Ga16 Rh4 Au2'
_symmetry_space_group_name_H-M 'C 1 2/m 1'
_symmetry_Int_Tables_number 12
_cell_length_a 11.511
_cell_length_b 6.819
_cell_length_c 5.056
_cell_angle_alpha 90.00
_cell_angle_beta 100.45
_cell_angle_gamma 90.00
loop_
_symmetry_equiv_pos_as_xyz
'x,y,z'
'-x,-y,-z'
'-x,y,-z'
'x,-y,z'
'x+1/2,y+1/2,z'
'-x+1/2,-y+1/2,-z'
'-x+1/2,y+1/2,-z'
'x+1/2,-y+1/2,z'
loop_
_atom_site_label
_atom_site_fract_x
_atom_site_fract_y
_atom_site_fract_z
Ga1 0.082 0.000 0.356
Ga2 0.099 0.222 0.891
Ga3 0.201 0.500 0.322
Rh1 0.232 0.500 0.839
Au1 0.000 0.500 0.500
```

Crystal system: monoclinic
Theoretical density, g cm⁻³: 8.17

***

## GaRh2Au2 (PBE)

Data for GaRh2Au2 after structural relaxation.

```
data_GaRh2Au2
_chemical_formula_sum 'Ga2 Rh4 Au4'
_symmetry_space_group_name_H-M 'P 4/m b m'
_symmetry_Int_Tables_number 127
_symmetry_space_group_name_Hall '-P 4 2ab'
_cell_length_a 6.389
_cell_length_b 6.389
_cell_length_c 4.171
_cell_angle_alpha 90.00
_cell_angle_beta 90.00
_cell_angle_gamma 90.00
loop_
_atom_site_label
_atom_site_fract_x
_atom_site_fract_y
_atom_site_fract_z
Ga1 0.000 0.000 0.000
Rh1 0.142 0.358 0.000
Au1 0.164 0.664 0.500
```

Crystal system: tetragonal
Theoretical density, g cm⁻³: 13.06

***

## Ga3RhAu (PBE)

Data for Ga3RhAu after structural relaxation.

```
data_Ga3RhAu
_chemical_formula_sum 'Ga6 Rh2 Au2'
_symmetry_space_group_name_H-M 'P -1'
_symmetry_Int_Tables_number 2
_cell_length_a 4.978
_cell_length_b 4.982
_cell_length_c 8.133
_cell_angle_alpha 100.69
_cell_angle_beta 101.13
_cell_angle_gamma 112.34
loop_
_symmetry_equiv_pos_as_xyz
'x,y,z'
'-x,-y,-z'
loop_
_atom_site_label
_atom_site_fract_x
_atom_site_fract_y
_atom_site_fract_z
Ga1 0.140 0.131 0.305
Ga2 0.250 0.750 0.002
Ga3 0.325 0.337 0.697
Rh1 0.272 0.268 0.040
Au1 0.268 0.718 0.485
```

Crystal system: triclinic
Theoretical density, g cm⁻³: 9.64
Relative energy among the computed polymorphs, eV/atom: 0.016

***

## Ga2Rh2Au (PBE)

Data for Ga2Rh2Au after structural relaxation.

```
data_Ga2Rh2Au
_chemical_formula_sum 'Ga4 Rh4 Au2'
_symmetry_space_group_name_H-M 'P 4/m b m'
_symmetry_Int_Tables_number 127
_symmetry_space_group_name_Hall '-P 4 2ab'
_cell_length_a 7.213
_cell_length_b 7.213
_cell_length_c 2.930
_cell_angle_alpha 90.00
_cell_angle_beta 90.00
_cell_angle_gamma 90.00
loop_
_atom_site_label
_atom_site_fract_x
_atom_site_fract_y
_atom_site_fract_z
Ga1 0.145 0.355 0.000
Rh1 0.151 0.651 0.500
Au1 0.000 0.000 0.000
```

Crystal system: tetragonal
Theoretical density, g cm⁻³: 11.81
Relative energy among the computed polymorphs, eV/atom: 0.000

***

## GaRhAu2 (PBE)

Data for GaRhAu2 after structural relaxation.

```
data_GaRhAu2
_chemical_formula_sum 'Ga3 Rh3 Au6'
_symmetry_space_group_name_H-M 'R -3 m'
_symmetry_Int_Tables_number 166
_symmetry_space_group_name_Hall '-R 3 2"'
_cell_length_a 2.8157
_cell_length_b 2.8157
_cell_length_c 30.7115
_cell_angle_alpha 90.00
_cell_angle_beta 90.00
_cell_angle_gamma 120.00
loop_
_atom_site_label
_atom_site_fract_x
_atom_site_fract_y
_atom_site_fract_z
Ga1 0.0000 0.0000 0.0000
Rh1 0.0000 0.0000 0.5000
Au1 0.0000 0.0000 0.4114
```

Crystal system: trigonal
Theoretical density, g cm⁻³: 13.38

***

| no. | DOS at the Fermi energy (states/eV per cell) | formation energy from the elements (eV per formula unit) |
| --- | --- | --- |
| 1 | 3.01 | 0.0 |
| 2 | 5.08 | -3.0 |
| 3 | 11.54 | -0.2 |
| 4 | 3.65 | -1.7 |
| 5 | 4.09 | -2.3 |
| 6 | 10.20 | 1.0 |